(1)
The following is a PBE calculation of a geometry-optimized MgCdSeO structure, from OQMD.

Cell lengths 7.5457, 8.3461, 9.4674 Å; angles 90.00, 90.00, 90.00 degrees
Space group Pbca (No. 61)
Inequivalent atoms, fractional coordinates:
Mg 0.2489 0.1333 0.2500 x8
Cd 0.0005 0.7497 0.0000 x8
Se 0.2501 0.0042 0.5016 x8
O 0.0010 0.7057 0.2500 x8

- Energy above the most stable polymorph in this dataset: 259 meV/atom

(2)
The following is a PBE calculation of a geometry-optimized Ac4CoI5 structure, from OQMD.

Cell lengths 20.9677, 4.3430, 9.6080 Å; angles 90.00, 103.86, 90.00 degrees
Space group C2/m (No. 12)
Inequivalent atoms, fractional coordinates:
Ac 0.0014 0.0000 0.2985 x4
Ac 0.1456 0.5000 0.5849 x4
Co 0.0000 0.5000 0.5000 x2
I 0.0000 0.5000 0.0000 x2
I 0.1666 0.0000 0.8597 x4
I 0.1759 0.0000 0.3309 x4

- Total energy: -4.2158 eV/atom

(3)
The following is a PBE calculation of a geometry-optimized PrHoGa4Ir2 structure, from OQMD.

Cell lengths 4.2537, 7.0251, 5.5856 Å; angles 90.00, 112.12, 90.00 degrees
Space group Pm (No. 6)
Inequivalent atoms, fractional coordinates:
Pr 0.0000 0.0000 0.0000 x1
Ho 0.8530 0.5000 0.7068 x1
Ga 0.2830 0.2006 0.5652 x2
Ga 0.5724 0.3071 0.1469 x2
Ir 0.1369 0.5000 0.2772 x1
Ir 0.7180 0.0000 0.4344 x1

- Total energy: -5.6069 eV/atom

(4)
The following is a PBE calculation of a geometry-optimized HgPd3PbSe2 structure, from OQMD.

Cell lengths 5.8284, 5.8284, 15.2189 Å; angles 90.00, 90.00, 120.00 degrees
Space group R-3m (No. 166, hexagonal axes)
Inequivalent atoms, fractional coordinates:
Hg 0.0000 0.0000 0.0000 x3
Pd 0.0000 0.5000 0.0000 x9
Pb 0.0000 0.0000 0.5000 x3
Se 0.0000 0.0000 0.2141 x6

- Total energy: -4.1321 eV/atom

(5)
The following is a PBE calculation of a geometry-optimized Er8Pd structure, from OQMD.

Cell lengths 9.0397, 9.0397, 3.6277 Å; angles 90.00, 90.00, 120.00 degrees
Space group P-62m (No. 189)
Inequivalent atoms, fractional coordinates:
Er 0.0000 0.2494 0.0000 x3
Er 0.0000 0.6119 0.5000 x3
Er 0.3333 0.6667 0.0000 x2
Pd 0.0000 0.0000 0.5000 x1

- Energy of formation: -0.217 eV per atom

(6)
The following is a PBE calculation of a geometry-optimized MgCo2S3 structure, from OQMD.

Cell lengths 3.4157, 11.5007, 8.9231 Å; angles 90.00, 90.00, 90.00 degrees
Space group Cmcm (No. 63)
Inequivalent atoms, fractional coordinates:
Mg 0.0000 0.2414 0.2500 x4
Co 0.0000 0.0000 0.0000 x4
Co 0.0000 0.4617 0.7500 x4
S 0.0000 0.0799 0.7500 x4
S 0.0000 0.3650 0.5425 x8

- Total energy: -5.1185 eV/atom

(7)
The following is a PBE calculation of a geometry-optimized Sc2Ga4CoPt structure, from OQMD.

Cell lengths 6.6103, 4.1285, 9.6665 Å; angles 90.00, 90.00, 90.00 degrees
Space group Amm2 (No. 38)
Inequivalent atoms, fractional coordinates:
Sc 0.0000 0.0000 0.0000 x2
Sc 0.5000 0.0000 0.1554 x2
Ga 0.2123 0.0000 0.7168 x4
Ga 0.3082 0.0000 0.4474 x4
Co 0.5000 0.0000 0.8766 x2
Pt 0.0000 0.0000 0.2870 x2

- Total energy: -5.4345 eV/atom

(8)
The following is a PBE calculation of a geometry-optimized K2AgWBr6 structure, from OQMD.

Cell lengths 10.8661, 10.8661, 10.8661 Å; angles 90.00, 90.00, 90.00 degrees
Space group Fm-3m (No. 225)
Inequivalent atoms, fractional coordinates:
K 0.2500 0.2500 0.2500 x8
Ag 0.0000 0.0000 0.0000 x4
W 0.0000 0.0000 0.5000 x4
Br 0.0000 0.0000 0.2601 x24

- Total energy: -3.6159 eV/atom

Values of calculated volume, in order: 18.63 42.47 19.33 21.32 28.52 14.61 16.49 32.07, all in A^3/atom.